Crystalline TaCr2CuF at its relaxed geometry, computed with PBE with a Hubbard U.

a = 4.138 Å, b = 4.138 Å, c = 4.570 Å
α = 90.00°, β = 90.00°, γ = 90.00°
Atoms (fractional coordinates):
Ta 0.000 0.000 0.000
Cr 0.000 0.500 0.500
Cr 0.500 0.000 0.500
Cu 0.500 0.500 0.000
F 0.500 0.500 0.500

Values from the calculation:
Space-group type ... P4/mmm
DFT total energy ... -31.1 eV per formula unit